No. 1
# Ta2IrRu | the Alexandria database | PBEsol | optimized geometry
# raw total energy: -11.67 eV per atom
# total moment: 0.00 μB per cell
# calculated formation energy: -394 meV/atom
data_Ta2IrRu
_symmetry_space_group_name_H-M 'P 4/m m m'
_symmetry_Int_Tables_number 123
_symmetry_space_group_name_Hall '-P 4 2'
_cell_length_a 2.9194
_cell_length_b 2.9194
_cell_length_c 7.3077
_cell_angle_alpha 90.00
_cell_angle_beta 90.00
_cell_angle_gamma 90.00
loop_
_atom_site_label
_atom_site_fract_x
_atom_site_fract_y
_atom_site_fract_z
Ta1 0.0000 0.0000 0.2418
Ir1 0.5000 0.5000 0.5000
Ru1 0.5000 0.5000 0.0000

=====

No. 2
# LiYC2N4 | the Alexandria database | PBEsol | optimized geometry
# raw total energy: -8.58 eV per atom
# total moment: 0.00 μB per cell
# uncorrected formation energy: -78 kJ/mol of atoms
data_LiYC2N4
_symmetry_space_group_name_H-M 'P b c n'
_symmetry_Int_Tables_number 60
_symmetry_space_group_name_Hall '-P 2n 2ab'
_cell_length_a 9.8198
_cell_length_b 6.9470
_cell_length_c 6.0138
_cell_angle_alpha 90.00
_cell_angle_beta 90.00
_cell_angle_gamma 90.00
loop_
_atom_site_label
_atom_site_fract_x
_atom_site_fract_y
_atom_site_fract_z
Li1 0.0000 0.1053 0.2500
Y1 0.0000 0.3593 0.7500
C1 0.2471 0.1110 0.5789
N1 0.1226 0.1163 0.5835
N2 0.1266 0.3950 0.0740

=====

No. 3
# Hg3MoP | the Alexandria database | PBEsol | optimized geometry
# raw total energy: -2.64 eV per atom
# total moment: 4.75 μB per cell
# calculated formation energy: 1214 meV/atom
data_Hg3MoP
_symmetry_space_group_name_H-M 'P m -3 m'
_symmetry_Int_Tables_number 221
_symmetry_space_group_name_Hall '-P 4 2 3'
_cell_length_a 4.9886
_cell_length_b 4.9886
_cell_length_c 4.9886
_cell_angle_alpha 90.00
_cell_angle_beta 90.00
_cell_angle_gamma 90.00
loop_
_atom_site_label
_atom_site_fract_x
_atom_site_fract_y
_atom_site_fract_z
Hg1 0.0000 0.0000 0.5000
Mo1 0.5000 0.5000 0.5000
P1 0.0000 0.0000 0.0000

=====

No. 4
# CaNiO2 | the Alexandria database | PBEsol | optimized geometry
# raw total energy: -5.57 eV per atom
# total moment: 4.24 μB per cell
# uncorrected formation energy: -84 kJ/mol of atoms
data_CaNiO2
_symmetry_space_group_name_H-M 'R -3 m'
_symmetry_Int_Tables_number 166
_symmetry_space_group_name_Hall '-R 3 2"'
_cell_length_a 3.1560
_cell_length_b 3.1560
_cell_length_c 18.0996
_cell_angle_alpha 90.00
_cell_angle_beta 90.00
_cell_angle_gamma 120.00
loop_
_atom_site_label
_atom_site_fract_x
_atom_site_fract_y
_atom_site_fract_z
Ca1 0.0000 0.0000 0.0000
Ni1 0.0000 0.0000 0.5000
O1 0.0000 0.0000 0.1184

=====

No. 5
# Ta2SnC | the Alexandria database | PBEsol | optimized geometry
# raw total energy: -8.64 eV per atom
# total moment: 0.00 μB per cell
# calculated formation energy: 1107 meV/atom
data_Ta2SnC
_symmetry_space_group_name_H-M 'F m -3 m'
_symmetry_Int_Tables_number 225
_symmetry_space_group_name_Hall '-F 4 2 3'
_cell_length_a 6.2860
_cell_length_b 6.2860
_cell_length_c 6.2860
_cell_angle_alpha 90.00
_cell_angle_beta 90.00
_cell_angle_gamma 90.00
loop_
_atom_site_label
_atom_site_fract_x
_atom_site_fract_y
_atom_site_fract_z
Ta1 0.2500 0.2500 0.2500
Sn1 0.0000 0.0000 0.0000
C1 0.0000 0.0000 0.5000

=====

No. 6
# BaMgW2 | the Alexandria database | PBEsol | optimized geometry
# raw total energy: -6.69 eV per atom
# total moment: 0.00 μB per cell
# calculated formation energy: 1181 meV/atom
data_BaMgW2
_symmetry_space_group_name_H-M 'C m m m'
_symmetry_Int_Tables_number 65
_symmetry_space_group_name_Hall '-C 2 2'
_cell_length_a 3.7441
_cell_length_b 4.2381
_cell_length_c 10.3399
_cell_angle_alpha 90.00
_cell_angle_beta 90.00
_cell_angle_gamma 90.00
loop_
_atom_site_label
_atom_site_fract_x
_atom_site_fract_y
_atom_site_fract_z
Ba1 0.0000 0.0000 0.0000
Mg1 0.0000 0.0000 0.5000
W1 0.0000 0.5000 0.2844

=====

Copy entry 3 word for word.
# Hg3MoP | the Alexandria database | PBEsol | optimized geometry
# raw total energy: -2.64 eV per atom
# total moment: 4.75 μB per cell
# calculated formation energy: 1214 meV/atom
data_Hg3MoP
_symmetry_space_group_name_H-M 'P m -3 m'
_symmetry_Int_Tables_number 221
_symmetry_space_group_name_Hall '-P 4 2 3'
_cell_length_a 4.9886
_cell_length_b 4.9886
_cell_length_c 4.9886
_cell_angle_alpha 90.00
_cell_angle_beta 90.00
_cell_angle_gamma 90.00
loop_
_atom_site_label
_atom_site_fract_x
_atom_site_fract_y
_atom_site_fract_z
Hg1 0.0000 0.0000 0.5000
Mo1 0.5000 0.5000 0.5000
P1 0.0000 0.0000 0.0000

=====

The highest raw total energy belongs to which entry? Hg3MoP